DFT (PBE-GGA) results for Pm2Ni3Sb4Au after structural relaxation.

## Properties
E = -52.32 eV/f.u.
N(E_F) = 3.75 states/eV per cell
V = 21.11 Å³ per atom
Mass density = 9.047 g/cm³
Formation energy (no corrections) = -0.57 eV per atom

a = 4.539 Å, b = 4.539 Å, c = 10.247 Å
α = 90.00°, β = 90.00°, γ = 90.00°
Element x y z (fractional)
Sb  0.000  0.000  0.000
Sb  0.000  0.500  0.358
Sb  0.500  0.000  0.642
Sb  0.500  0.500  0.000
Ni  0.500  0.000  0.883
Ni  0.000  0.500  0.117
Ni  0.000  0.000  0.500
Au  0.500  0.500  0.500
Pm  0.000  0.500  0.748
Pm  0.500  0.000  0.252